# 1
The following is a PBE-GGA calculation of KBaMnBr5 after structural relaxation, from Alexandria.

Cell: 8.2468 8.2468 11.2124 Å, 102.99 102.99 106.18°
Atoms (fractional coordinates):
K  0.1448  0.8552  0.7500
K  0.8552  0.1448  0.2500
Ba  0.5000  0.5000  0.0000
Ba  0.5000  0.5000  0.5000
Mn  0.1802  0.8198  0.2500
Mn  0.8198  0.1802  0.7500
Br  0.0910  0.2184  0.9262
Br  0.1526  0.5709  0.3469
Br  0.2184  0.0910  0.4262
Br  0.3896  0.6104  0.7500
Br  0.4291  0.8474  0.1531
Br  0.5709  0.1526  0.8469
Br  0.6104  0.3896  0.2500
Br  0.7816  0.9090  0.5738
Br  0.8474  0.4291  0.6531
Br  0.9090  0.7816  0.0738

Formation energy (no corrections) ... -1533 meV/atom
Density ... 3.09 g/cm3

=====

# 2
The following is a PBE-GGA calculation of Ba2GaTePt after structural relaxation, from Alexandria.

Cell: 6.1664 6.1664 4.7944 Å, 90.00 90.00 90.00°
Atoms (fractional coordinates):
Ba  0.0000  0.5000  0.0000
Ba  0.5000  0.0000  0.0000
Ga  0.0000  0.0000  0.5000
Te  0.5000  0.5000  0.5000
Pt  0.0000  0.0000  0.0000

Formation energy (no corrections) ... -979 meV/atom
Density ... 6.08 g/cm3

=====

# 3
The following is a PBE-GGA calculation of KIn2GeBr5 after structural relaxation, from Alexandria.

Cell: 9.5982 9.5982 17.0460 Å, 90.00 90.00 153.96°
Atoms (fractional coordinates):
K  0.0518  0.9482  0.5000
K  0.9482  0.0518  0.0000
In  0.3564  0.6436  0.3131
In  0.4328  0.5672  0.7113
In  0.5672  0.4328  0.2113
In  0.6436  0.3564  0.8131
Ge  0.2556  0.7444  0.0958
Ge  0.7444  0.2556  0.5958
Br  0.0201  0.9799  0.8296
Br  0.1106  0.8894  0.0767
Br  0.2278  0.7722  0.4875
Br  0.2533  0.7467  0.7125
Br  0.4102  0.5898  0.1318
Br  0.5898  0.4102  0.6318
Br  0.7467  0.2533  0.2125
Br  0.7722  0.2278  0.9875
Br  0.8894  0.1106  0.5767
Br  0.9799  0.0201  0.3296

Formation energy (no corrections) ... -834 meV/atom
Density ... 3.57 g/cm3

=====

no.,total magnetization (μB/f.u.)
1,5.0
2,0.0
3,0.0